(A)
Below is a relaxed structure of Sr6LiCa2, with properties calculated at the PBE level.

* spin magnetization: 0.000 μB per formula unit
* theoretical density: 2.3 g/cm³

a = 10.9999 Å, b = 10.9999 Å, c = 4.2060 Å
α = 90.00°, β = 90.00°, γ = 120.00°
With the nearest neighbours (Å) after each atom.
Fractional positions:
Sr: 0.0000 0.3770 0.0000  4 Ca 4.04, 1 Li 4.15, 8 Sr 4.21-4.42
Sr: 0.0000 0.7307 0.5000  2 Li 3.63, 2 Ca 4.06
Sr: 0.2693 0.2693 0.5000  2 Li 3.63, 2 Ca 4.06
Sr: 0.3770 0.0000 0.0000  4 Ca 4.04, 1 Li 4.15, 8 Sr 4.21-4.42
Sr: 0.6230 0.6230 0.0000  4 Ca 4.04, 1 Li 4.15, 8 Sr 4.21-4.42
Sr: 0.7307 0.0000 0.5000  2 Li 3.63, 2 Ca 4.06
Li: 0.0000 0.0000 0.0000  6 Sr 3.63
Ca: 0.3333 0.6667 0.5000  9 Sr 4.04-4.06, 2 Ca 4.21
Ca: 0.6667 0.3333 0.5000  9 Sr 4.04-4.06, 2 Ca 4.21

---

(B)
Below is a relaxed structure of Sr6LiCa2, with properties calculated at the PBE level.

* spin magnetization: 0.000 μB per formula unit
* theoretical density: 2.3 g/cm³

a = 8.6663 Å, b = 8.6663 Å, c = 6.7767 Å
α = 110.17°, β = 110.17°, γ = 80.23°
With the nearest neighbours (Å) after each atom.
Fractional positions:
Sr: 0.1504 0.5214 0.3344  7 Sr 3.89-4.31, 3 Ca 3.97-4.02, 1 Li 4.02
Sr: 0.1763 0.8237 0.0000  2 Li 3.92, 7 Sr 3.94-4.31, 2 Ca 4.15
Sr: 0.4786 0.8496 0.6656  7 Sr 3.89-4.31, 3 Ca 3.97-4.02, 1 Li 4.02
Sr: 0.5214 0.1504 0.3344  7 Sr 3.89-4.31, 3 Ca 3.97-4.02, 1 Li 4.02
Sr: 0.8237 0.1763 0.0000  2 Li 3.92, 7 Sr 3.94-4.31, 2 Ca 4.15
Sr: 0.8496 0.4786 0.6656  7 Sr 3.89-4.31, 3 Ca 3.97-4.02, 1 Li 4.02
Li: 0.0000 0.0000 0.5000  2 Ca 3.89, 8 Sr 3.92-4.02
Ca: 0.3284 0.3284 0.8280  1 Li 3.89, 8 Sr 3.97-4.15, 1 Ca 4.07
Ca: 0.6716 0.6716 0.1720  1 Li 3.89, 8 Sr 3.97-4.15, 1 Ca 4.07

---

We find (A) to be the most stable, with the next structure 89 meV per atom higher.

---

(A)
Below is a relaxed structure of Sr4LiCa3, with properties calculated at the PBE level.

* spin magnetization: 0.000 μB per formula unit
* theoretical density: 2.2 g/cm³

a = 4.1966 Å, b = 4.1966 Å, c = 20.7008 Å
α = 90.00°, β = 90.00°, γ = 90.00°
With the nearest neighbours (Å) after each atom.
Fractional positions:
Sr: 0.0000 0.0000 0.1013  4 Li 3.63, 4 Ca 4.06
Sr: 0.0000 0.0000 0.3674  8 Ca 4.04, 4 Sr 4.20
Sr: 0.0000 0.0000 0.6326  8 Ca 4.04, 4 Sr 4.20
Sr: 0.0000 0.0000 0.8987  4 Li 3.63, 4 Ca 4.06
Li: 0.5000 0.5000 0.0000  8 Sr 3.63
Ca: 0.5000 0.5000 0.2350  8 Sr 4.04-4.06, 4 Ca 4.20
Ca: 0.5000 0.5000 0.5000  8 Sr 4.04, 4 Ca 4.20
Ca: 0.5000 0.5000 0.7650  8 Sr 4.04-4.06, 4 Ca 4.20

---

(B)
Below is a relaxed structure of Sr4LiCa3, with properties calculated at the PBE level.

* spin magnetization: 0.001 μB per formula unit
* theoretical density: 2.1 g/cm³

a = 4.0432 Å, b = 6.2385 Å, c = 14.8604 Å
α = 90.00°, β = 90.00°, γ = 90.00°
With the nearest neighbours (Å) after each atom.
Fractional positions:
Sr: 0.0000 0.0000 0.0000  2 Li 3.91, 5 Ca 4.02-4.03, 2 Sr 4.04
Sr: 0.0000 0.5000 0.3302  3 Ca 3.93-3.94, 4 Li 4.03, 6 Sr 4.04-4.34
Sr: 0.5000 0.0000 0.4816  1 Li 3.81, 2 Sr 4.04, 6 Ca 4.08-4.19
Sr: 0.5000 0.5000 0.8412  7 Ca 3.89-4.18, 2 Sr 4.04
Li: 0.5000 0.0000 0.2255  2 Ca 3.61, 7 Sr 3.81-4.03, 2 Li 4.04
Ca: 0.0000 0.0000 0.7287  4 Ca 3.70-4.04, 5 Sr 4.03-4.08
Ca: 0.0000 0.5000 0.5953  4 Ca 3.70-4.04, 5 Sr 3.94-4.08
Ca: 0.5000 0.5000 0.1031  2 Li 3.61, 7 Sr 3.89-4.02, 2 Ca 4.04

---

We find (A) to be the most stable, with the next structure 39 meV per atom higher.

---

(A)
Below is a relaxed structure of Sr2LiCa8, with properties calculated at the PBE level.

* spin magnetization: 0.000 μB per formula unit
* theoretical density: 1.7 g/cm³

a = 5.6288 Å, b = 5.6288 Å, c = 15.0673 Å
α = 90.00°, β = 90.00°, γ = 90.00°
With the nearest neighbours (Å) after each atom.
Fractional positions:
Sr: 0.0000 0.0000 0.1886  12 Ca 3.96-4.00
Sr: 0.0000 0.0000 0.8114  12 Ca 3.96-4.00
Li: 0.0000 0.0000 0.5000  8 Ca 3.40
Ca: 0.0000 0.5000 0.0000  8 Ca 3.95-3.98, 4 Sr 4.00
Ca: 0.0000 0.5000 0.3739  2 Li 3.40, 1 Ca 3.80
Ca: 0.0000 0.5000 0.6261  2 Li 3.40, 1 Ca 3.80
Ca: 0.5000 0.0000 0.0000  8 Ca 3.95-3.98, 4 Sr 4.00
Ca: 0.5000 0.0000 0.3739  2 Li 3.40, 1 Ca 3.80
Ca: 0.5000 0.0000 0.6261  2 Li 3.40, 1 Ca 3.80
Ca: 0.5000 0.5000 0.1844  8 Ca 3.95-4.01, 4 Sr 3.98
Ca: 0.5000 0.5000 0.8156  8 Ca 3.95-4.01, 4 Sr 3.98

---

(B)
Below is a relaxed structure of Sr2LiCa8, with properties calculated at the PBE level.

* spin magnetization: 0.000 μB per formula unit
* theoretical density: 1.8 g/cm³

a = 10.2331 Å, b = 10.2331 Å, c = 8.8603 Å
α = 106.78°, β = 106.78°, γ = 31.97°
With the nearest neighbours (Å) after each atom.
Fractional positions:
Sr: 0.2237 0.2237 0.1364  10 Ca 3.87-4.07, 2 Sr 4.04
Sr: 0.7763 0.7763 0.8636  10 Ca 3.87-4.07, 2 Sr 4.04
Li: 0.5000 0.5000 0.5000  12 Ca 3.69-3.99
Ca: 0.0424 0.0424 0.2227  9 Ca 3.73-4.06, 1 Sr 3.87, 2 Li 3.99
Ca: 0.1277 0.1277 0.6602  7 Ca 3.73-4.07, 2 Li 3.76, 3 Sr 4.07
Ca: 0.3239 0.3239 0.5953  1 Li 3.81, 8 Ca 3.86-4.07, 3 Sr 3.95-3.98
Ca: 0.4160 0.4160 0.0671  1 Li 3.69, 8 Ca 3.74-4.06, 3 Sr 3.97-4.01
Ca: 0.5840 0.5840 0.9329  1 Li 3.69, 8 Ca 3.74-4.06, 3 Sr 3.97-4.01
Ca: 0.6761 0.6761 0.4047  1 Li 3.81, 8 Ca 3.86-4.07, 3 Sr 3.95-3.98
Ca: 0.8723 0.8723 0.3398  7 Ca 3.73-4.07, 2 Li 3.76, 3 Sr 4.07
Ca: 0.9576 0.9576 0.7773  9 Ca 3.73-4.06, 1 Sr 3.87, 2 Li 3.99

---

We find (B) to be the most stable, with the next structure 22 meV per atom higher.

---

(A)
Below is a relaxed structure of SrLi2CaZn, with properties calculated at the PBE level.

* spin magnetization: 0.000 μB per formula unit
* theoretical density: 2.2 g/cm³

a = 5.3261 Å, b = 5.3261 Å, c = 5.6166 Å
α = 90.00°, β = 90.00°, γ = 90.00°
With the nearest neighbours (Å) after each atom.
Fractional positions:
Sr: 0.0000 0.0000 0.0000  4 Ca 3.77, 8 Li 3.87
Li: 0.0000 0.5000 0.5000  2 Zn 2.66
Li: 0.5000 0.0000 0.5000  2 Zn 2.66
Ca: 0.5000 0.5000 0.0000  2 Zn 2.81
Zn: 0.5000 0.5000 0.5000  4 Li 2.66, 2 Ca 2.81

---

(B)
Below is a relaxed structure of SrLi2CaZn, with properties calculated at the PBE level.

* spin magnetization: 0.000 μB per formula unit
* theoretical density: 2.3 g/cm³

a = 7.8912 Å, b = 7.8912 Å, c = 7.8912 Å
α = 149.89°, β = 142.31°, γ = 48.98°
With the nearest neighbours (Å) after each atom.
Fractional positions:
Sr: 0.0000 0.0000 0.0000  4 Zn 3.44, 6 Li 3.59-3.67
Li: 0.6158 0.6158 0.0000  1 Zn 2.73
Li: 0.7950 0.2950 0.5000  2 Zn 3.16, 2 Li 3.29, 4 Ca 3.30
Ca: 0.2661 0.7661 0.5000  2 Zn 3.07, 6 Li 3.30-3.34
Zn: 0.4255 0.4255 0.0000  1 Li 2.73

---

We find (B) to be the most stable, with the next structure 112 meV per atom higher.

---

(A)
Below is a relaxed structure of LiCaTa2, with properties calculated at the PBE level.

* spin magnetization: 0.000 μB per formula unit
* theoretical density: 8.6 g/cm³

a = 4.8073 Å, b = 4.8073 Å, c = 4.8073 Å
α = 60.00°, β = 60.00°, γ = 60.00°
With the nearest neighbours (Å) after each atom.
Fractional positions:
Li: 0.0000 0.0000 0.0000  8 Ta 2.94
Ca: 0.5000 0.5000 0.5000  8 Ta 2.94
Ta: 0.2500 0.2500 0.2500  4 Ca 2.94, 4 Li 2.94
Ta: 0.7500 0.7500 0.7500  4 Ca 2.94, 4 Li 2.94

---

(B)
Below is a relaxed structure of LiCaTa2, with properties calculated at the PBE level.

* spin magnetization: 0.000 μB per formula unit
* theoretical density: 8.4 g/cm³

a = 2.8029 Å, b = 2.8029 Å, c = 10.8945 Å
α = 90.00°, β = 90.00°, γ = 108.96°
With the nearest neighbours (Å) after each atom.
Fractional positions:
Li: 0.0000 0.0000 0.0000  4 Li 2.80, 4 Ta 3.08
Ca: 0.0000 0.0000 0.5000  4 Ca 2.80
Ta: 0.5000 0.5000 0.2394  4 Ta 2.80, 2 Li 3.08
Ta: 0.5000 0.5000 0.7606  4 Ta 2.80, 2 Li 3.08

---

We find (B) to be the most stable, with the next structure 544 meV per atom higher.

---

(A)
Below is a relaxed structure of LiCaTa2, with properties calculated at the PBE level.

* spin magnetization: 0.000 μB per formula unit
* theoretical density: 7.8 g/cm³

a = 6.0239 Å, b = 6.0239 Å, c = 6.0239 Å
α = 150.85°, β = 124.50°, γ = 63.92°
With the nearest neighbours (Å) after each atom.
Fractional positions:
Li: 0.0000 0.0000 0.0000  6 Ta 2.88-3.22, 2 Li 3.03, 2 Ca 3.04
Ca: 0.7417 0.2417 0.5000  2 Ca 3.03, 2 Li 3.04, 6 Ta 3.19-3.31
Ta: 0.2401 0.7401 0.5000  2 Ta 2.66, 2 Li 2.88
Ta: 0.4537 0.4537 0.0000  2 Ta 2.66

---

(B)
Below is a relaxed structure of LiCaTa2, with properties calculated at the PBE level.

* spin magnetization: 0.448 μB per formula unit
* theoretical density: 8.5 g/cm³

a = 4.8308 Å, b = 4.8308 Å, c = 4.8308 Å
α = 60.00°, β = 60.00°, γ = 60.00°
With the nearest neighbours (Å) after each atom.
Fractional positions:
Li: 0.0000 0.0000 0.0000  4 Ca 2.96, 4 Ta 2.96
Ca: 0.7500 0.7500 0.7500  4 Ta 2.96, 4 Li 2.96
Ta: 0.2500 0.2500 0.2500  4 Ta 2.96, 4 Li 2.96
Ta: 0.5000 0.5000 0.5000  4 Ta 2.96, 4 Ca 2.96

---

We find (A) to be the most stable, with the next structure 22 meV per atom higher.